# 1
! CrRh3 (meta-GGA SCAN, PBEsol geometry); values from VASP
&SYSTEM
  ibrav = 0, nat = 4, ntyp = 2
/
ATOMIC_SPECIES
Cr 52.00 Cr.upf
Rh 102.91 Rh.upf
CELL_PARAMETERS angstrom
2.638 0.000 0.000
0.000 2.638 0.000
0.000 0.000 7.416
ATOMIC_POSITIONS angstrom
Cr 0.000 0.000 0.000
Rh 0.000 0.000 3.708
Rh 1.319 1.319 1.750
Rh 1.319 1.319 5.666
! - Fermi-level density of states: 1.266 states/eV per atom
! - Formation energy: -0.042 eV per atom
! - Final energy: -29.966 eV per atom

---

# 2
! HfAl2Co2 (meta-GGA SCAN, PBEsol geometry); values from VASP
&SYSTEM
  ibrav = 0, nat = 5, ntyp = 3
/
ATOMIC_SPECIES
Hf 178.49 Hf.upf
Al 26.98 Al.upf
Co 58.93 Co.upf
CELL_PARAMETERS angstrom
-1.814 1.814 5.398
1.814 -1.814 5.398
1.814 1.814 -5.398
ATOMIC_POSITIONS angstrom
Hf 0.000 0.000 0.000
Al 1.814 0.000 2.699
Al 0.000 1.814 2.699
Co 0.000 0.000 4.303
Co 0.000 0.000 6.493
! - Fermi-level density of states: 0.603 states/eV per atom
! - Formation energy: -0.287 eV per atom
! - Final energy: -22.844 eV per atom

---

# 3
! Li3MnVP3O12 (meta-GGA SCAN, PBEsol geometry); values from VASP
&SYSTEM
  ibrav = 0, nat = 80, ntyp = 5
/
ATOMIC_SPECIES
Li 6.94 Li.upf
Mn 54.94 Mn.upf
V 50.94 V.upf
P 30.97 P.upf
O 16.00 O.upf
CELL_PARAMETERS angstrom
-5.818 5.818 5.818
5.818 -5.818 5.818
5.818 5.818 -5.818
ATOMIC_POSITIONS angstrom
Li 2.909 1.424 0.000
Li 5.818 2.909 -1.424
Li 1.424 0.000 2.909
Li 7.242 0.000 2.909
Li 0.000 2.909 1.424
Li 2.909 -1.424 5.818
Li 2.909 7.242 0.000
Li 5.818 2.909 4.394
Li -1.424 5.818 2.909
Li 4.394 5.818 2.909
Li 0.000 2.909 7.242
Li 2.909 4.394 5.818
Mn 0.000 0.000 0.000
Mn 5.818 0.000 0.000
Mn 0.000 5.818 0.000
Mn 0.000 0.000 5.818
V 2.909 2.909 -2.909
V 2.909 -2.909 2.909
V -2.909 2.909 2.909
V 2.909 2.909 2.909
P 5.818 -2.909 4.348
P 8.727 1.470 0.000
P 4.348 5.818 -2.909
P 4.348 0.000 2.909
P 2.909 4.348 0.000
P 5.818 2.909 1.470
P 0.000 2.909 4.348
P 2.909 1.470 5.818
P 1.470 5.818 2.909
P 1.470 0.000 8.727
P -2.909 4.348 5.818
P 0.000 8.727 1.470
O 1.849 -0.523 0.601
O 6.899 3.457 -3.358
O 6.899 -2.362 3.358
O 7.667 0.523 0.601
O 5.295 -0.601 1.849
O 9.177 -1.081 2.362
O 0.601 1.849 -0.523
O 8.180 2.460 -1.081
O 3.457 3.358 -1.081
O 5.217 1.849 0.523
O 3.358 -1.081 3.457
O -0.523 0.601 1.849
O 5.295 5.217 -1.849
O 3.358 1.081 2.362
O 5.217 -1.849 5.295
O 3.457 -3.358 6.899
O 2.362 3.358 1.081
O 6.419 3.969 0.523
O 3.358 6.899 -2.362
O 5.295 0.601 3.969
O 1.849 5.295 -0.601
O 6.899 2.362 2.460
O 1.081 2.362 3.358
O 1.849 0.523 5.217
O 3.969 5.295 0.601
O 4.738 3.457 2.460
O -1.081 3.457 3.358
O 3.969 0.523 6.419
O 0.523 5.217 1.849
O 2.460 -1.081 8.180
O -0.601 1.849 5.295
O 3.457 2.460 4.738
O 2.362 9.177 -1.081
O 0.601 7.667 0.523
O 2.460 4.738 3.457
O 0.523 0.601 7.667
O 6.342 5.217 3.969
O 2.460 6.899 2.362
O 0.601 3.969 5.295
O 2.362 2.460 6.899
O -2.362 3.358 6.899
O 5.217 3.969 6.342
O -3.358 6.899 3.457
O 0.523 6.419 3.969
O -1.849 5.295 5.217
O -1.081 8.180 2.460
O -1.081 2.362 9.177
O 3.969 6.342 5.217
! - E above lowest polymorph: 41.4 meV per atom
! - Fermi-level density of states: 0.435 states/eV per atom
! - Final energy: -9.940 eV per atom

---

# 4
! BaSrLa4O8 (meta-GGA SCAN, PBEsol geometry); values from VASP
&SYSTEM
  ibrav = 0, nat = 28, ntyp = 4
/
ATOMIC_SPECIES
Ba 137.33 Ba.upf
Sr 87.62 Sr.upf
La 138.91 La.upf
O 16.00 O.upf
CELL_PARAMETERS angstrom
3.655 0.000 0.000
0.000 12.421 0.000
0.000 0.000 10.412
ATOMIC_POSITIONS angstrom
Ba 0.000 1.291 0.000
Ba 0.000 11.131 5.206
Sr 1.827 4.877 5.273
Sr 1.827 7.544 0.066
La 0.000 1.823 6.894
La 0.000 4.571 1.967
La 0.000 7.851 7.173
La 0.000 10.598 1.688
La 1.827 1.655 3.399
La 1.827 4.545 8.819
La 1.827 7.876 3.613
La 1.827 10.767 8.605
O 0.000 0.356 2.750
O 0.000 3.243 4.156
O 0.000 4.235 7.155
O 0.000 5.457 10.194
O 0.000 6.964 4.988
O 0.000 8.187 1.949
O 0.000 9.179 9.362
O 0.000 12.065 7.956
O 1.827 0.842 5.609
O 1.827 2.201 8.502
O 1.827 2.962 1.309
O 1.827 5.657 2.854
O 1.827 6.764 8.060
O 1.827 9.459 6.515
O 1.827 10.220 3.296
O 1.827 11.579 0.403
! - Fermi-level density of states: 0.000 states/eV per atom
! - Final energy: -23.772 eV per atom

---

# 5
! In3NiAg (meta-GGA SCAN, PBEsol geometry); values from VASP
&SYSTEM
  ibrav = 0, nat = 5, ntyp = 3
/
ATOMIC_SPECIES
In 114.82 In.upf
Ni 58.69 Ni.upf
Ag 107.87 Ag.upf
CELL_PARAMETERS angstrom
4.833 0.000 0.000
0.000 4.833 0.000
0.000 0.000 4.833
ATOMIC_POSITIONS angstrom
In 0.000 0.000 2.416
In 0.000 2.416 0.000
In 2.416 0.000 0.000
Ni 0.000 0.000 0.000
Ag 2.416 2.416 2.416
! - Fermi-level density of states: 0.330 states/eV per atom
! - Formation energy: 0.097 eV per atom
! - Final energy: -29.443 eV per atom

---

# 6
! CuGePSe (meta-GGA SCAN, PBEsol geometry); values from VASP
&SYSTEM
  ibrav = 0, nat = 4, ntyp = 4
/
ATOMIC_SPECIES
Cu 63.55 Cu.upf
Ge 72.64 Ge.upf
P 30.97 P.upf
Se 78.96 Se.upf
CELL_PARAMETERS angstrom
1.917 1.107 6.307
-1.917 1.107 6.307
0.000 -2.213 6.307
ATOMIC_POSITIONS angstrom
Cu 0.000 0.000 0.000
Ge 0.000 0.000 9.456
P 0.000 0.000 16.724
Se 0.000 0.000 7.082
! - Fermi-level density of states: 0.138 states/eV per atom
! - Final energy: -16.366 eV per atom

---

# 7
! LaOF (meta-GGA SCAN, PBEsol geometry); values from VASP
&SYSTEM
  ibrav = 0, nat = 6, ntyp = 3
/
ATOMIC_SPECIES
La 138.91 La.upf
O 16.00 O.upf
F 19.00 F.upf
CELL_PARAMETERS angstrom
2.005 1.157 6.680
-2.005 1.157 6.680
0.000 -2.315 6.680
ATOMIC_POSITIONS angstrom
La 0.000 0.000 4.846
La 0.000 0.000 15.195
O 0.000 0.000 2.466
O 0.000 0.000 17.575
F 0.000 0.000 7.435
F 0.000 0.000 12.606
! - Fermi-level density of states: 0.000 states/eV per atom
! - Final energy: -21.812 eV per atom

---

# 8
! CsScCrSe3 (meta-GGA SCAN, PBEsol geometry); values from VASP
&SYSTEM
  ibrav = 0, nat = 12, ntyp = 4
/
ATOMIC_SPECIES
Cs 132.91 Cs.upf
Sc 44.96 Sc.upf
Cr 52.00 Cr.upf
Se 78.96 Se.upf
CELL_PARAMETERS angstrom
1.971 -7.961 0.000
1.971 7.961 0.000
0.000 0.000 10.328
ATOMIC_POSITIONS angstrom
Cs 1.971 4.072 7.746
Cs 1.971 -4.072 2.582
Sc 1.971 0.000 0.000
Sc 1.971 0.000 5.164
Cr 1.971 7.442 2.582
Cr 1.971 -7.442 7.746
Se 1.971 6.149 0.530
Se 1.971 6.149 4.634
Se 1.971 0.937 2.582
Se 1.971 -0.937 7.746
Se 1.971 -6.149 5.694
Se 1.971 -6.149 9.798
! - Fermi-level density of states: 0.552 states/eV per atom
! - Final energy: -23.188 eV per atom

---

# 9
! ZnReCl (meta-GGA SCAN, PBEsol geometry); values from VASP
&SYSTEM
  ibrav = 0, nat = 3, ntyp = 3
/
ATOMIC_SPECIES
Zn 65.41 Zn.upf
Re 186.21 Re.upf
Cl 35.45 Cl.upf
CELL_PARAMETERS angstrom
-1.450 1.450 5.893
1.450 -1.450 5.893
1.450 1.450 -5.893
ATOMIC_POSITIONS angstrom
Zn 0.000 0.000 0.000
Re 0.000 0.000 4.290
Cl 0.000 0.000 8.622
! - Fermi-level density of states: 0.507 states/eV per atom
! - Final energy: -30.200 eV per atom

---

# 10
! TlNiOs2 (meta-GGA SCAN, PBEsol geometry); values from VASP
&SYSTEM
  ibrav = 0, nat = 4, ntyp = 3
/
ATOMIC_SPECIES
Tl 204.38 Tl.upf
Ni 58.69 Ni.upf
Os 190.23 Os.upf
CELL_PARAMETERS angstrom
2.791 0.000 0.000
0.000 4.648 0.000
-0.025 0.000 4.693
ATOMIC_POSITIONS angstrom
Tl 0.000 0.000 0.000
Ni 1.383 0.000 2.346
Os 0.667 2.324 3.404
Os 2.099 2.324 1.288
! - E above lowest polymorph: 0.0 meV per atom
! - Fermi-level density of states: 0.874 states/eV per atom
! - Formation energy: 0.861 eV per atom
! - Final energy: -57.211 eV per atom

---

# 11
! AlAg3 (meta-GGA SCAN, PBEsol geometry); values from VASP
&SYSTEM
  ibrav = 0, nat = 8, ntyp = 2
/
ATOMIC_SPECIES
Al 26.98 Al.upf
Ag 107.87 Ag.upf
CELL_PARAMETERS angstrom
2.876 0.000 0.000
0.000 3.918 0.000
0.000 0.000 11.551
ATOMIC_POSITIONS angstrom
Al 0.000 0.000 1.484
Al 0.000 0.000 10.067
Ag 0.000 0.000 4.309
Ag 0.000 0.000 7.242
Ag 1.438 1.959 0.000
Ag 1.438 1.959 2.807
Ag 1.438 1.959 5.775
Ag 1.438 1.959 8.743
! - Fermi-level density of states: 0.266 states/eV per atom
! - Formation energy: -0.054 eV per atom
! - Final energy: -25.517 eV per atom

---

# 12
! SrTl3 (meta-GGA SCAN, PBEsol geometry); values from VASP
&SYSTEM
  ibrav = 0, nat = 4, ntyp = 2
/
ATOMIC_SPECIES
Sr 87.62 Sr.upf
Tl 204.38 Tl.upf
CELL_PARAMETERS angstrom
4.004 0.000 0.000
0.000 4.004 0.000
0.000 0.000 7.414
ATOMIC_POSITIONS angstrom
Sr 0.000 0.000 0.000
Tl 0.000 0.000 3.707
Tl 2.002 2.002 2.051
Tl 2.002 2.002 5.363
! - Fermi-level density of states: 0.505 states/eV per atom
! - Formation energy: -0.300 eV per atom
! - Final energy: -60.137 eV per atom

---

# 13
! MgTlRe2 (meta-GGA SCAN, PBEsol geometry); values from VASP
&SYSTEM
  ibrav = 0, nat = 4, ntyp = 3
/
ATOMIC_SPECIES
Mg 24.30 Mg.upf
Tl 204.38 Tl.upf
Re 186.21 Re.upf
CELL_PARAMETERS angstrom
-1.926 1.926 4.520
1.926 -1.926 4.520
1.926 1.926 -4.520
ATOMIC_POSITIONS angstrom
Mg 0.000 0.000 0.000
Tl 0.000 0.000 4.520
Re 1.926 0.000 2.260
Re 0.000 1.926 2.260
! - E above lowest polymorph: 0.0 meV per atom
! - Fermi-level density of states: 0.964 states/eV per atom
! - Formation energy: 0.788 eV per atom
! - Final energy: -54.094 eV per atom

---

# 14
! Zn2ReCl (meta-GGA SCAN, PBEsol geometry); values from VASP
&SYSTEM
  ibrav = 0, nat = 4, ntyp = 3
/
ATOMIC_SPECIES
Zn 65.41 Zn.upf
Re 186.21 Re.upf
Cl 35.45 Cl.upf
CELL_PARAMETERS angstrom
1.654 -2.320 0.000
1.654 2.320 0.000
0.000 0.000 7.973
ATOMIC_POSITIONS angstrom
Zn 0.000 0.000 1.944
Zn 0.000 0.000 6.029
Re 1.654 0.000 0.000
Cl 1.654 0.000 3.987
! - E above lowest polymorph: 102.3 meV per atom
! - Fermi-level density of states: 0.332 states/eV per atom
! - Final energy: -26.307 eV per atom

---

# 15
! SrScIn2 (meta-GGA SCAN, PBEsol geometry); values from VASP
&SYSTEM
  ibrav = 0, nat = 4, ntyp = 3
/
ATOMIC_SPECIES
Sr 87.62 Sr.upf
Sc 44.96 Sc.upf
In 114.82 In.upf
CELL_PARAMETERS angstrom
5.352 0.000 0.000
0.000 5.352 0.000
0.000 0.000 3.661
ATOMIC_POSITIONS angstrom
Sr 0.000 0.000 0.000
Sc 2.676 2.676 0.000
In 0.000 2.676 1.831
In 2.676 0.000 1.831
! - Fermi-level density of states: 0.606 states/eV per atom
! - Formation energy: -0.423 eV per atom
! - Final energy: -26.244 eV per atom

---

# 16
! K2AgAs3Se6 (meta-GGA SCAN, PBEsol geometry); values from VASP
&SYSTEM
  ibrav = 0, nat = 48, ntyp = 4
/
ATOMIC_SPECIES
K 39.10 K.upf
Ag 107.87 Ag.upf
As 74.92 As.upf
Se 78.96 Se.upf
CELL_PARAMETERS angstrom
12.346 0.000 0.000
0.000 7.473 0.000
-10.424 0.000 14.162
ATOMIC_POSITIONS angstrom
K -1.440 0.893 3.409
K -6.652 2.844 10.490
K -2.851 4.685 8.714
K 2.361 6.524 1.633
K -0.439 0.949 12.529
K 4.773 2.787 5.448
K 8.573 4.629 3.672
K 3.361 6.580 10.753
Ag -4.103 0.019 6.062
Ag -9.315 3.718 13.143
Ag 11.237 3.755 1.019
Ag 6.025 7.454 8.100
As -3.357 0.620 9.242
As 1.855 3.116 2.161
As 0.279 4.245 5.189
As -4.933 6.964 12.270
As -0.436 1.309 7.088
As 4.776 2.427 0.007
As -2.855 5.046 14.155
As 2.358 6.163 7.074
As 6.855 0.509 1.892
As 1.643 3.227 8.973
As 0.067 4.357 12.001
As 5.279 6.853 4.920
Se 0.551 1.684 0.740
Se -4.661 2.052 7.821
Se -0.489 5.170 3.149
Se -5.702 6.039 10.230
Se -6.951 0.664 13.038
Se -1.739 3.073 5.957
Se -6.832 4.374 13.551
Se -1.620 6.835 6.470
Se -3.725 1.526 11.484
Se 1.487 2.210 4.403
Se -1.197 1.773 9.367
Se 4.015 1.963 2.286
Se -2.094 5.510 11.876
Se 3.118 5.699 4.795
Se 0.434 5.262 9.759
Se 5.646 5.947 2.678
Se 3.541 0.638 7.692
Se 8.753 3.099 0.611
Se 3.661 4.400 8.205
Se 8.873 6.809 1.124
Se 7.623 1.434 3.932
Se 2.411 2.303 11.013
Se 6.583 5.421 6.341
Se 1.371 5.788 13.422
! - Final energy: -19.626 eV per atom

---

# 17
! AgIO3 (meta-GGA SCAN, PBEsol geometry); values from VASP
&SYSTEM
  ibrav = 0, nat = 20, ntyp = 3
/
ATOMIC_SPECIES
Ag 107.87 Ag.upf
I 126.90 I.upf
O 16.00 O.upf
CELL_PARAMETERS angstrom
6.425 0.000 0.000
0.000 7.438 0.000
0.000 0.000 6.064
ATOMIC_POSITIONS angstrom
Ag 0.000 0.000 0.000
Ag 0.000 3.719 0.000
Ag 3.212 0.000 3.032
Ag 3.212 3.719 3.032
I 0.004 1.860 2.996
I 3.209 5.579 6.028
I 3.216 1.860 0.036
I 6.421 5.579 3.068
O 0.679 5.579 1.374
O 1.034 4.231 3.831
O 1.034 6.926 3.831
O 2.179 0.512 0.799
O 2.179 3.207 0.799
O 2.533 1.860 4.406
O 3.892 5.579 1.658
O 4.246 4.231 5.265
O 4.246 6.926 5.265
O 5.391 0.512 2.233
O 5.391 3.207 2.233
O 5.746 1.860 4.690
! - Fermi-level density of states: 0.000 states/eV per atom
! - Final energy: -17.699 eV per atom

---

# 18
! BeFeSe (meta-GGA SCAN, PBEsol geometry); values from VASP
&SYSTEM
  ibrav = 0, nat = 3, ntyp = 3
/
ATOMIC_SPECIES
Be 9.01 Be.upf
Fe 55.84 Fe.upf
Se 78.96 Se.upf
CELL_PARAMETERS angstrom
0.000 2.710 2.710
2.710 0.000 2.710
2.710 2.710 0.000
ATOMIC_POSITIONS angstrom
Be 0.000 0.000 0.000
Fe 2.710 2.710 2.710
Se 1.355 1.355 1.355
! - E above lowest polymorph: 19.8 meV per atom
! - Fermi-level density of states: 0.129 states/eV per atom
! - Final energy: -13.825 eV per atom